SeBr2Cl: relaxed, PBE.

Geometry as POSCAR:
```
SeBr2Cl
1.0
7.152 0.000 0.000
0.000 7.152 0.000
0.000 0.000 7.152
Se Br Cl
4 8 4
Direct
0.000 0.000 0.000
0.000 0.500 0.500
0.500 0.000 0.500
0.500 0.500 0.000
0.250 0.250 0.250
0.250 0.250 0.750
0.250 0.750 0.250
0.250 0.750 0.750
0.750 0.250 0.250
0.750 0.250 0.750
0.750 0.750 0.250
0.750 0.750 0.750
0.000 0.000 0.500
0.000 0.500 0.000
0.500 0.000 0.000
0.500 0.500 0.500
```

Values from the calculation:
SG = Fm-3m
total DFT energy (no corrections) = -25.10 eV for the cell shown
E_form (uncorrected) = 0.601 eV/atom
volume = 22.9 Å³ per atom